1.
DFT (PBE) results for Cu2SiCI after structural relaxation.

Theoretical density (g/cm³): 4.8
DOS at the Fermi energy (states/eV/atom): 0.58
Formation energy (no corrections) (eV/atom): 2.12
Total energy (eV per atom): -2.76

Unit cell a=4.876 b=4.876 c=4.266 alpha=90.00 beta=90.00 gamma=90.00
Sites, in units of the cell vectors:
Cu1 0.000 0.500 0.000
Cu2 0.500 0.000 0.000
Si1 0.000 0.000 0.500
C1 0.500 0.500 0.500
I1 0.500 0.500 0.000

2.
DFT (PBE) results for CuTe2CI after structural relaxation.

Theoretical density (g/cm³): 6.7
DOS at the Fermi energy (states/eV/atom): 0.76
ΔE to the lowest computed polymorph (meV per atom): 0
Formation energy (no corrections) (eV/atom): 1.29
Total energy (eV per atom): -2.94

Unit cell a=4.769 b=4.769 c=5.013 alpha=90.00 beta=90.00 gamma=90.00
Sites, in units of the cell vectors:
Cu1 0.000 0.000 0.000
Te1 0.000 0.500 0.500
Te2 0.500 0.000 0.500
C1 0.500 0.500 0.500
I1 0.500 0.500 0.000

3.
DFT (PBE) results for CuTe2CI after structural relaxation.

Theoretical density (g/cm³): 5.4
DOS at the Fermi energy (states/eV/atom): 1.21
ΔE to the lowest computed polymorph (meV per atom): 418
Formation energy (no corrections) (eV/atom): 1.71
Total energy (eV per atom): -2.53

Unit cell a=5.161 b=5.161 c=5.267 alpha=90.00 beta=90.00 gamma=90.00
Sites, in units of the cell vectors:
Cu1 0.000 0.000 0.000
Te1 0.000 0.500 0.000
Te2 0.500 0.000 0.000
C1 0.500 0.500 0.500
I1 0.000 0.000 0.500

4.
DFT (PBE) results for CuTeCI2 after structural relaxation.

Theoretical density (g/cm³): 6.2
DOS at the Fermi energy (states/eV/atom): 0.83
ΔE to the lowest computed polymorph (meV per atom): 0
Formation energy (no corrections) (eV/atom): 1.33
Total energy (eV per atom): -2.59

Unit cell a=5.140 b=5.140 c=4.637 alpha=90.00 beta=90.00 gamma=90.00
Sites, in units of the cell vectors:
Cu1 0.000 0.000 0.000
Te1 0.500 0.500 0.000
C1 0.500 0.500 0.500
I1 0.000 0.500 0.500
I2 0.500 0.000 0.500